K2IBr: PBEsol geometry, meta-GGA SCAN. Values from VASP.

Symmetry: Fm-3m, No. 225
Total DFT energy (no corrections): -19.95 eV/atom
ΔE to the lowest computed polymorph: 0.000 eV per atom
Spin magnetization: 0.0000 μB/atom

Quantum ESPRESSO input file:
```
&SYSTEM
  ibrav = 0, nat = 16, ntyp = 3
/
ATOMIC_SPECIES
K 39.10 K.upf
I 126.90 I.upf
Br 79.90 Br.upf
CELL_PARAMETERS angstrom
8.179 0.000 0.000
0.000 8.179 0.000
0.000 0.000 8.179
ATOMIC_POSITIONS crystal
K 0.250 0.250 0.250
K 0.250 0.250 0.750
K 0.250 0.750 0.250
K 0.250 0.750 0.750
K 0.750 0.250 0.250
K 0.750 0.250 0.750
K 0.750 0.750 0.250
K 0.750 0.750 0.750
I 0.000 0.000 0.000
I 0.000 0.500 0.500
I 0.500 0.000 0.500
I 0.500 0.500 0.000
Br 0.000 0.000 0.500
Br 0.000 0.500 0.000
Br 0.500 0.000 0.000
Br 0.500 0.500 0.500
```